No. 1
Here is an optimized crystal structure of CdSb2Se from Alexandria via LeMat-Bulk. Energies are from GGA-PBEsol.

- SG = I4/mmm (139)
- formation energy (no corrections) (eV/atom) = -0.09

Lattice parameters (Å, degrees): 5.0988 5.0988 5.0988 107.25 110.60 110.60
Positions (direct):
Cd 0.0000 0.0000 0.0000
Sb 0.5000 0.5000 0.0000
Sb 0.5000 0.0000 0.5000
Se 0.0000 0.5000 0.5000

No. 2
Here is an optimized crystal structure of ZnTeSe from Alexandria via LeMat-Bulk. Energies are from GGA-PBEsol.

- SG = I4mm (107)
- formation energy (no corrections) (eV/atom) = -0.14

Lattice parameters (Å, degrees): 3.2177 3.2177 8.0250 101.57 101.57 90.00
Positions (direct):
Zn 0.4693 0.4693 0.9386
Te 0.6375 0.6375 0.2751
Se 0.8931 0.8931 0.7863

No. 3
Here is an optimized crystal structure of Y2SiSe from Alexandria via LeMat-Bulk. Energies are from GGA-PBEsol.

- SG = R-3m (166)
- formation energy (no corrections) (eV/atom) = -1.37

Lattice parameters (Å, degrees): 4.0400 4.0400 7.1064 73.49 73.49 60.00
Positions (direct):
Y 0.2464 0.2464 0.2608
Y 0.7536 0.7536 0.7392
Si 0.5000 0.5000 0.5000
Se 0.0000 0.0000 0.0000

No. 4
Here is an optimized crystal structure of KFeCu2 from Alexandria via LeMat-Bulk. Energies are from GGA-PBEsol.

- SG = Immm (71)

Lattice parameters (Å, degrees): 2.5861 5.2957 5.8452 116.94 102.78 90.00
Each line ends with the local moment (μB).
Positions (direct):
Cu 0.7948 0.7948 0.5897  0.07
Cu 0.2052 0.2052 0.4103  0.07
Fe 0.5000 0.0000 0.0000  2.62
K 0.0000 0.5000 0.0000  -0.01

No. 5
Here is an optimized crystal structure of TaBe2Tc2 from Alexandria via LeMat-Bulk. Energies are from GGA-PBEsol.

- SG = P4/mbm (127)

Lattice parameters (Å, degrees): 3.1041 6.2227 6.2227 90.00 90.00 90.00
Positions (direct):
Be 0.0000 0.3841 0.8841
Be 0.0000 0.8841 0.6159
Be 0.0000 0.6159 0.1159
Be 0.0000 0.1159 0.3841
Tc 0.5000 0.1764 0.6764
Tc 0.5000 0.6764 0.8236
Tc 0.5000 0.8236 0.3236
Tc 0.5000 0.3236 0.1764
Ta 0.0000 0.0000 0.0000
Ta 0.0000 0.5000 0.5000

No. 6
Here is an optimized crystal structure of K2SnS from Alexandria via LeMat-Bulk. Energies are from GGA-PBEsol.

- SG = Fm-3m (225)
- formation energy (no corrections) (eV/atom) = -0.10

Lattice parameters (Å, degrees): 5.5410 5.5410 5.5410 60.00 60.00 60.00
Each line ends with the local moment (μB).
Positions (direct):
S 0.0000 0.0000 0.0000  0.00
K 0.2500 0.2500 0.2500  0.03
K 0.7500 0.7500 0.7500  0.03
Sn 0.5000 0.5000 0.5000  0.47

No. 7
Here is an optimized crystal structure of ZrIrW2 from Alexandria via LeMat-Bulk. Energies are from GGA-PBEsol.

- SG = R-3m (166)

Lattice parameters (Å, degrees): 2.7968 2.7968 9.8939 81.87 81.87 60.00
Positions (direct):
Ir 0.0000 0.0000 0.0000
W 0.2576 0.2576 0.2271
W 0.7424 0.7424 0.7729
Zr 0.5000 0.5000 0.5000

No. 8
Here is an optimized crystal structure of TcHgAu from Alexandria via LeMat-Bulk. Energies are from GGA-PBEsol.

- SG = F-43m (216)

Lattice parameters (Å, degrees): 4.4102 4.4102 4.4102 60.00 60.00 60.00
Each line ends with the local moment (μB).
Positions (direct):
Au 0.5000 0.5000 0.5000  0.01
Hg 0.2500 0.2500 0.2500  0.02
Tc 0.0000 0.0000 0.0000  2.24

No. 9
Here is an optimized crystal structure of Eu2ZrO4 from Alexandria via LeMat-Bulk. Energies are from GGA-PBEsol.

- SG = I4/mmm (139)
- formation energy (no corrections) (eV/atom) = -3.12

Lattice parameters (Å, degrees): 4.1035 4.1035 6.8284 107.49 107.49 90.00
Each line ends with the local moment (μB).
Positions (direct):
Eu 0.6454 0.6454 0.2908  6.81
Eu 0.3546 0.3546 0.7092  6.81
O 0.8303 0.8303 0.6606  -0.05
O 0.1697 0.1697 0.3394  -0.05
O 0.5000 0.0000 0.0000  -0.02
O 0.0000 0.5000 0.0000  -0.02
Zr 0.0000 0.0000 0.0000  0.08

No. 10
Here is an optimized crystal structure of SrZn2Pt from Alexandria via LeMat-Bulk. Energies are from GGA-PBEsol.

- SG = C2/m (12)

Lattice parameters (Å, degrees): 4.0804 4.2833 5.5688 110.88 109.68 94.42
Positions (direct):
Pt 0.5000 0.0000 0.0000
Sr 0.0000 0.5000 0.0000
Zn 0.0000 0.0000 0.5000
Zn 0.5000 0.5000 0.5000

No. 11
Here is an optimized crystal structure of NbBrO2F from Alexandria via LeMat-Bulk. Energies are from GGA-PBEsol.

- SG = P4/mmm (123)
- formation energy (no corrections) (eV/atom) = -1.58

Lattice parameters (Å, degrees): 3.9921 3.9921 4.2278 90.00 90.00 90.00
Each line ends with the local moment (μB).
Positions (direct):
Nb 0.0000 0.0000 0.0000  -0.01
O 0.0000 0.5000 0.0000  0.12
O 0.5000 0.0000 0.0000  0.12
Br 0.5000 0.5000 0.5000  0.60
F 0.0000 0.0000 0.5000  0.02

No. 12
Here is an optimized crystal structure of NaZrAs3 from Alexandria via LeMat-Bulk. Energies are from GGA-PBEsol.

- SG = Pm-3m (221)

Lattice parameters (Å, degrees): 4.7718 4.7718 4.7718 90.00 90.00 90.00
Positions (direct):
Na 0.0000 0.0000 0.0000
As 0.0000 0.5000 0.0000
As 0.0000 0.0000 0.5000
As 0.5000 0.0000 0.0000
Zr 0.5000 0.5000 0.5000

| no. | final energy (eV/atom) | N(E_F) (states/eV/f.u.) |
| --- | --- | --- |
| 1 | -3.6329 | 2.10 |
| 2 | -3.1240 | 1.30 |
| 3 | -7.1768 | 1.00 |
| 4 | -3.7760 | 4.20 |
| 5 | -8.9550 | 3.04 |
| 6 | -2.8318 | 3.02 |
| 7 | -11.4245 | 4.04 |
| 8 | -4.2031 | 2.16 |
| 9 | -10.4314 | 18.75 |
| 10 | -2.9714 | 1.49 |
| 11 | -6.6059 | 3.49 |
| 12 | -4.3262 | 3.66 |